Below is a relaxed LaNdZnGe crystal, with properties calculated at the PBE level.

Results
**Total magnetic moment**: 0.00 μB/atom
**Symmetry**: No. 216
**Energy relative to the elements**: -2.13 eV/f.u.
**Distance to the lowest polymorph of the same formula**: 0.052 eV/atom

Cell: 5.249 5.249 5.249 Å, 60.00 60.00 60.00°
Atoms (fractional coordinates):
1 La 0.500 0.500 0.500
2 Nd 0.000 0.000 0.000
3 Zn 0.750 0.750 0.750
4 Ge 0.250 0.250 0.250



Below is a relaxed LaNdZn2Ge2 crystal, with properties calculated at the PBE level.

Results
**Total magnetic moment**: 0.00 μB/atom
**Symmetry**: No. 164
**Energy relative to the elements**: -4.12 eV/f.u.

Cell: 4.269 4.269 8.624 Å, 90.00 90.00 120.00°
Atoms (fractional coordinates):
1 La 0.000 0.000 0.000
2 Ge 0.667 0.333 0.747
3 Ge 0.333 0.667 0.253
4 Nd 0.000 0.000 0.500
5 Zn 0.667 0.333 0.257
6 Zn 0.333 0.667 0.743



Below is a relaxed LaNi2Ge2 crystal, with properties calculated at the PBE level.

Results
**Total magnetic moment**: 0.00 μB/atom
**Symmetry**: No. 139
**Energy relative to the elements**: -3.45 eV/f.u.

Cell: 4.186 4.186 5.728 Å, 68.57 68.57 90.00°
Atoms (fractional coordinates):
1 Ge 0.367 0.367 0.267
2 Ge 0.633 0.633 0.733
3 La 0.000 0.000 0.000
4 Ni 0.250 0.750 0.500
5 Ni 0.750 0.250 0.500



Below is a relaxed LaNi2Ge crystal, with properties calculated at the PBE level.

Results
**Total magnetic moment**: 0.00 μB/atom
**Symmetry**: No. 122
**Energy relative to the elements**: -1.40 eV/f.u.

Cell: 4.574 4.574 8.582 Å, 74.54 74.54 90.00°
Atoms (fractional coordinates):
1 Ge 0.500 0.500 0.000
2 Ge 0.250 0.750 0.500
3 Ni 0.421 0.125 0.250
4 Ni 0.875 0.671 0.750
5 Ni 0.375 0.579 0.750
6 Ni 0.329 0.625 0.250
7 La 0.750 0.250 0.500
8 La 0.000 0.000 0.000



Below is a relaxed La2Ni3Ge crystal, with properties calculated at the PBE level.

Results
**Total magnetic moment**: 0.00 μB/atom
**Symmetry**: No. 44
**Energy relative to the elements**: -3.02 eV/f.u.

Cell: 4.132 4.086 7.784 Å, 105.22 105.39 90.00°
Atoms (fractional coordinates):
1 Ni 0.709 0.709 0.417
2 Ni 0.543 0.543 0.085
3 Ni 0.293 0.793 0.586
4 La 0.868 0.368 0.737
5 La 0.127 0.127 0.255
6 Ge 0.460 0.960 0.921



Below is a relaxed La2Ni3Ge crystal, with properties calculated at the PBE level.

Results
**Total magnetic moment**: 0.00 μB/atom
**Symmetry**: No. 69
**Energy relative to the elements**: -2.93 eV/f.u.

Cell: 5.843 5.843 8.294 Å, 110.99 110.99 89.03°
Atoms (fractional coordinates):
1 La 0.758 0.242 0.000
2 La 0.250 0.750 0.500
3 La 0.750 0.250 0.500
4 La 0.242 0.758 0.000
5 Ni 0.833 0.833 0.166
6 Ni 0.834 0.834 0.668
7 Ni 0.167 0.167 0.834
8 Ni 0.166 0.166 0.332
9 Ni 0.666 0.666 0.834
10 Ni 0.334 0.334 0.166
11 Ge 0.666 0.666 0.332
12 Ge 0.334 0.334 0.668



Below is a relaxed La3Ni6Ge2 crystal, with properties calculated at the PBE level.

Results
**Total magnetic moment**: 0.00 μB/atom
**Symmetry**: No. 229
**Energy relative to the elements**: -5.33 eV/f.u.

Cell: 7.888 7.888 7.888 Å, 109.47 109.47 109.47°
Atoms (fractional coordinates):
1 La 0.714 0.714 0.000
2 La 0.000 0.286 0.286
3 La 0.286 0.000 0.286
4 La 0.000 0.714 0.714
5 La 0.714 0.000 0.714
6 La 0.286 0.286 0.000
7 Ni 0.000 0.664 0.336
8 Ni 0.336 0.336 0.673
9 Ni 0.673 0.336 0.336
10 Ni 0.664 0.336 0.000
11 Ni 0.336 0.664 0.000
12 Ni 0.336 0.000 0.664
13 Ni 0.664 0.664 0.327
14 Ni 0.000 0.336 0.664
15 Ni 0.336 0.673 0.336
16 Ni 0.664 0.327 0.664
17 Ni 0.327 0.664 0.664
18 Ni 0.664 0.000 0.336
19 Ge 0.000 0.500 0.000
20 Ge 0.500 0.500 0.500
21 Ge 0.000 0.000 0.500
22 Ge 0.500 0.000 0.000



Below is a relaxed La4NiGe crystal, with properties calculated at the PBE level.

Results
**Total magnetic moment**: 0.00 μB/atom
**Symmetry**: No. 11
**Energy relative to the elements**: -2.13 eV/f.u.
**Distance to the lowest polymorph of the same formula**: 0.036 eV/atom

Cell: 5.318 7.368 9.338 Å, 90.00 114.33 90.00°
Atoms (fractional coordinates):
1 Ni 0.192 0.250 0.557
2 Ni 0.808 0.750 0.443
3 Ge 0.308 0.250 0.084
4 Ge 0.692 0.750 0.916
5 La 0.893 0.023 0.228
6 La 0.407 0.750 0.548
7 La 0.337 0.750 0.124
8 La 0.107 0.523 0.772
9 La 0.107 0.977 0.772
10 La 0.593 0.250 0.452
11 La 0.893 0.477 0.228
12 La 0.663 0.250 0.876



Below is a relaxed LaNi2Ge3 crystal, with properties calculated at the PBE level.

Results
**Total magnetic moment**: 0.00 μB/atom
**Symmetry**: No. 139
**Energy relative to the elements**: -3.45 eV/f.u.

Cell: 4.188 4.188 12.622 Å, 99.55 99.55 90.00°
Atoms (fractional coordinates):
1 Ni 0.599 0.599 0.198
2 Ni 0.250 0.750 0.500
3 Ni 0.401 0.401 0.802
4 Ni 0.750 0.250 0.500
5 La 0.847 0.847 0.695
6 La 0.153 0.153 0.305
7 Ge 0.699 0.699 0.399
8 Ge 0.301 0.301 0.601
9 Ge 0.449 0.949 0.898
10 Ge 0.949 0.449 0.898
11 Ge 0.051 0.551 0.102
12 Ge 0.551 0.051 0.102



Below is a relaxed La2NiGe2 crystal, with properties calculated at the PBE level.

Results
**Total magnetic moment**: 0.00 μB/atom
**Symmetry**: No. 127
**Energy relative to the elements**: -2.96 eV/f.u.

Cell: 6.893 6.893 4.890 Å, 90.00 90.00 90.00°
Atoms (fractional coordinates):
1 Ge 0.640 0.140 0.000
2 Ge 0.360 0.860 0.000
3 Ge 0.140 0.360 0.000
4 Ge 0.860 0.640 0.000
5 La 0.173 0.673 0.500
6 La 0.327 0.173 0.500
7 La 0.673 0.827 0.500
8 La 0.827 0.327 0.500
9 Ni 0.500 0.500 0.000
10 Ni 0.000 0.000 0.000



Below is a relaxed LaNi2Ge2 crystal, with properties calculated at the PBE level.

Results
**Total magnetic moment**: 0.00 μB/atom
**Symmetry**: No. 139
**Energy relative to the elements**: -2.93 eV/f.u.

Cell: 4.209 4.209 5.716 Å, 68.40 68.40 90.00°
Atoms (fractional coordinates):
1 La 0.000 0.000 0.000
2 Ni 0.627 0.627 0.746
3 Ni 0.373 0.373 0.254
4 Ge 0.750 0.250 0.500
5 Ge 0.250 0.750 0.500



Below is a relaxed La4NiGe2 crystal, with properties calculated at the PBE level.

Results
**Total magnetic moment**: 0.00 μB/atom
**Symmetry**: No. 11
**Energy relative to the elements**: -4.03 eV/f.u.

Cell: 6.874 6.658 8.920 Å, 74.75 90.00 90.00°
Atoms (fractional coordinates):
1 Ge 0.750 0.179 0.544
2 Ge 0.250 0.400 0.930
3 Ge 0.750 0.600 0.070
4 Ge 0.250 0.821 0.456
5 La 0.250 0.333 0.597
6 La 0.250 0.727 0.131
7 La 0.503 0.808 0.757
8 La 0.750 0.273 0.869
9 La 0.003 0.192 0.243
10 La 0.497 0.192 0.243
11 La 0.750 0.667 0.403
12 La 0.997 0.808 0.757
13 Ni 0.750 0.942 0.103
14 Ni 0.250 0.058 0.897



Which of these has the lowest energy relative to the elements?
La3Ni6Ge2



Copy entry 12 word for word.
Below is a relaxed La4NiGe2 crystal, with properties calculated at the PBE level.

Results
**Total magnetic moment**: 0.00 μB/atom
**Symmetry**: No. 11
**Energy relative to the elements**: -4.03 eV/f.u.

Cell: 6.874 6.658 8.920 Å, 74.75 90.00 90.00°
Atoms (fractional coordinates):
1 Ge 0.750 0.179 0.544
2 Ge 0.250 0.400 0.930
3 Ge 0.750 0.600 0.070
4 Ge 0.250 0.821 0.456
5 La 0.250 0.333 0.597
6 La 0.250 0.727 0.131
7 La 0.503 0.808 0.757
8 La 0.750 0.273 0.869
9 La 0.003 0.192 0.243
10 La 0.497 0.192 0.243
11 La 0.750 0.667 0.403
12 La 0.997 0.808 0.757
13 Ni 0.750 0.942 0.103
14 Ni 0.250 0.058 0.897



The highest energy relative to the elements belongs to which entry?
LaNi2Ge